First-principles (SCAN) data for a crystal of ReTcI2O relaxed with PBEsol, as listed in the Alexandria database.

Summary:
- density of states at the Fermi level (states/eV per cell) = 3.3
- formation energy (no corrections) (eV per atom) = 0.923
- magnetic moment (μB per cell) = 2.9
- uncorrected energy (eV/cell) = -181.3

Lattice parameters (Å, degrees): 3.6038 5.3160 5.3160 90.00 90.00 90.00
Last column: magnetic moment on the atom in μB.
Atoms (fractional coordinates):
O 0.5000 0.0000 0.0000  0.01
Re 0.5000 0.5000 0.5000  2.67
Tc 0.0000 0.0000 0.0000  -0.56
I 0.0000 0.5000 0.0000  0.00
I 0.0000 0.0000 0.5000  0.00



First-principles (SCAN) data for a crystal of RhI2O2 relaxed with PBEsol, as listed in the Alexandria database.

Summary:
- density of states at the Fermi level (states/eV per cell) = 2.8
- formation energy (no corrections) (eV per atom) = 0.981
- magnetic moment (μB per cell) = 0.0
- uncorrected energy (eV/cell) = -114.8
- ΔE to the lowest computed polymorph (meV per atom) = 614

Lattice parameters (Å, degrees): 3.5714 4.7579 4.7579 90.00 90.00 90.00
Atoms (fractional coordinates):
O 0.5000 0.0000 0.0000
I 0.0000 0.5000 0.0000
Rh 0.5000 0.5000 0.5000
O 0.0000 0.0000 0.0000
I 0.0000 0.0000 0.5000